#one
## TaCuPb2 (PBE)

Data for crystalline TaCuPb2 at its relaxed geometry. Values from VASP.

Cell and atoms, written as Quantum ESPRESSO input:
```
&SYSTEM
  ibrav = 0, nat = 4, ntyp = 3
/
ATOMIC_SPECIES
Pb 207.20 Pb.upf
Cu 63.55 Cu.upf
Ta 180.95 Ta.upf
CELL_PARAMETERS angstrom
9.4548 -0.0055 -0.0032
8.8888 3.2221 -0.0032
8.8888 1.5587 2.8200
ATOMIC_POSITIONS angstrom
Pb 13.4940 2.3662 1.3942
Pb 0.1222 0.0214 0.0126
Cu 20.4244 3.5815 2.1102
Ta 6.8081 1.1938 0.7034
```

Volume, Å³ per atom: 21.5

#two
## TaCuPb2 (PBE)

Data for crystalline TaCuPb2 at its relaxed geometry. Values from VASP.

Cell and atoms, written as Quantum ESPRESSO input:
```
&SYSTEM
  ibrav = 0, nat = 4, ntyp = 3
/
ATOMIC_SPECIES
Cu 63.55 Cu.upf
Ta 180.95 Ta.upf
Pb 207.20 Pb.upf
CELL_PARAMETERS angstrom
-5.5053 -0.7779 1.2853
-3.4426 -2.1299 -4.0222
5.0726 -1.2576 2.2918
ATOMIC_POSITIONS angstrom
Cu -2.4533 -1.7447 1.1044
Ta -4.4739 -1.4539 -1.3684
Pb -1.4219 -2.4207 -1.5494
Pb 0.0000 0.0000 0.0000
```

Volume, Å³ per atom: 21.0

Relative energies with respect to the most stable structure, expressed in meV per atom: #one 0; #two 89.